Below is a relaxed structure of Tb2PrDyMg, with properties calculated at the PBE-GGA level.

Calculated total energy: -4.030 eV per atom
Energy relative to the elements: 2 kJ per mole of atoms

a b c (Å): 5.634 6.189 9.470
angles (deg): 70.83 90.00 90.00
Fractional positions:
Tb1 0.750 0.752 0.799
Tb2 0.250 0.248 0.201
Tb3 0.250 0.018 0.606
Tb4 0.750 0.982 0.394
Pr1 0.750 0.352 0.612
Pr2 0.250 0.648 0.388
Dy1 0.250 0.836 0.001
Dy2 0.750 0.164 0.999
Mg1 0.750 0.576 0.191
Mg2 0.250 0.424 0.809

Below is a relaxed structure of Tb3Pr6Dy2Mg, with properties calculated at the PBE-GGA level.

Calculated total energy: -4.427 eV per atom
Energy relative to the elements: 2 kJ per mole of atoms

a b c (Å): 6.284 6.284 11.858
angles (deg): 95.08 95.08 120.03
Fractional positions:
Tb1 0.167 0.833 0.500
Tb2 0.833 0.167 0.500
Tb3 0.500 0.500 0.500
Pr1 0.918 0.586 0.752
Pr2 0.750 0.750 0.249
Pr3 0.082 0.414 0.248
Pr4 0.586 0.918 0.752
Pr5 0.250 0.250 0.751
Pr6 0.414 0.082 0.248
Dy1 0.333 0.667 0.000
Dy2 0.667 0.333 0.000
Mg1 0.000 0.000 0.000

Below is a relaxed structure of TbPr6Dy2Mg, with properties calculated at the PBE-GGA level.

Calculated total energy: -4.296 eV per atom
Energy relative to the elements: 11 kJ per mole of atoms

a b c (Å): 9.742 8.841 8.841
angles (deg): 115.27 94.70 94.70
Fractional positions:
Tb1 0.250 0.978 0.022
Tb2 0.750 0.022 0.978
Pr1 0.051 0.118 0.759
Pr2 0.449 0.241 0.882
Pr3 0.949 0.882 0.241
Pr4 0.551 0.759 0.118
Pr5 0.306 0.002 0.434
Pr6 0.194 0.566 0.998
Pr7 0.694 0.998 0.566
Pr8 0.806 0.434 0.002
Pr9 0.110 0.699 0.500
Pr10 0.390 0.500 0.301
Pr11 0.890 0.301 0.500
Pr12 0.610 0.500 0.699
Dy1 0.444 0.803 0.709
Dy2 0.056 0.291 0.197
Dy3 0.556 0.197 0.291
Dy4 0.944 0.709 0.803
Mg1 0.250 0.408 0.592
Mg2 0.750 0.592 0.408

Below is a relaxed structure of Tb4Pr2DyMg, with properties calculated at the PBE-GGA level.

Calculated total energy: -4.257 eV per atom
Energy relative to the elements: 3 kJ per mole of atoms

a b c (Å): 4.997 5.012 11.370
angles (deg): 63.86 90.00 90.00
Fractional positions:
Tb1 0.000 0.749 0.751
Tb2 0.000 0.251 0.249
Tb3 0.500 0.751 0.249
Tb4 0.500 0.249 0.751
Pr1 0.000 0.000 0.000
Pr2 0.500 0.000 0.500
Dy1 0.000 0.500 0.500
Mg1 0.500 0.500 0.000

Below is a relaxed structure of Tb2Pr6DyMg, with properties calculated at the PBE-GGA level.

Calculated total energy: -4.300 eV per atom
Energy relative to the elements: 11 kJ per mole of atoms

a b c (Å): 9.773 8.842 8.842
angles (deg): 115.48 94.83 94.83
Fractional positions:
Tb1 0.445 0.803 0.709
Tb2 0.055 0.291 0.197
Tb3 0.555 0.197 0.291
Tb4 0.945 0.709 0.803
Pr1 0.050 0.120 0.758
Pr2 0.450 0.242 0.880
Pr3 0.950 0.880 0.242
Pr4 0.550 0.758 0.120
Pr5 0.306 0.001 0.432
Pr6 0.194 0.568 0.999
Pr7 0.694 0.999 0.568
Pr8 0.806 0.432 0.001
Pr9 0.111 0.700 0.503
Pr10 0.389 0.497 0.300
Pr11 0.889 0.300 0.497
Pr12 0.611 0.503 0.700
Dy1 0.250 0.979 0.021
Dy2 0.750 0.021 0.979
Mg1 0.250 0.407 0.593
Mg2 0.750 0.593 0.407

Below is a relaxed structure of Tb4PrDy2Mg, with properties calculated at the PBE-GGA level.

Calculated total energy: -4.163 eV per atom
Energy relative to the elements: 10 kJ per mole of atoms

a b c (Å): 5.816 9.438 5.811
angles (deg): 52.01 90.00 90.00
Fractional positions:
Tb1 0.000 0.746 0.754
Tb2 0.000 0.254 0.246
Tb3 0.500 0.745 0.255
Tb4 0.500 0.255 0.745
Pr1 0.500 0.500 0.000
Dy1 0.000 0.000 0.000
Dy2 0.500 0.000 0.500
Mg1 0.000 0.500 0.500